Entry 1:
Computed, not measured: Nd2InGe2Rh5 after structural relaxation at the GGA-PBE level of DFT.

Cell: 10.026 10.026 3.631 Å, 90.00 90.00 90.00°
Space group P4/mbm (No. 127)
One atom of each set of equivalent atoms:
Nd 0.176 0.324 0.000
In 0.000 0.000 0.000
Ge 0.122 0.622 0.000
Rh 0.000 0.500 0.500
Rh 0.068 0.785 0.500

Calculated values
energy of formation = -0.735 eV per atom

=====

Entry 2:
Computed, not measured: Nd2InGe4Rh3 after structural relaxation at the GGA-PBE level of DFT.

Cell: 4.311 4.311 10.516 Å, 90.00 90.00 90.00°
Space group P-4m2 (No. 115)
One atom of each set of equivalent atoms:
Nd 0.000 0.500 0.234
In 0.000 0.000 0.500
Ge 0.000 0.000 0.000
Ge 0.000 0.500 0.654
Ge 0.500 0.500 0.000
Rh 0.000 0.500 0.884
Rh 0.500 0.500 0.500

Calculated values
energy of formation = -0.724 eV per atom

=====

Entry 3:
Computed, not measured: Nd6InGe2Se3 after structural relaxation at the GGA-PBE level of DFT.

Cell: 18.975 4.289 8.709 Å, 90.00 105.87 90.00°
Space group C2/m (No. 12)
One atom of each set of equivalent atoms:
Nd 0.000 0.000 0.235
Nd 0.170 0.500 0.074
Nd 0.172 0.500 0.589
In 0.000 0.500 0.500
Ge 0.165 0.000 0.827
Se 0.000 0.500 0.000
Se 0.167 0.000 0.329

Calculated values
formation energy from raw total energies = -1276 meV/atom

=====

Entry 4:
Computed, not measured: NdSmInGe after structural relaxation at the GGA-PBE level of DFT.

Cell: 7.534 7.534 7.534 Å, 90.00 90.00 90.00°
Space group F-43m (No. 216)
One atom of each set of equivalent atoms:
Nd 0.000 0.000 0.000
Sm 0.000 0.000 0.500
In 0.250 0.250 0.250
Ge 0.250 0.250 0.750

Calculated values
energy of formation = -0.494 eV per atom

=====

Entry 5:
Computed, not measured: NdIn2GeTe4 after structural relaxation at the GGA-PBE level of DFT.

Cell: 7.766 4.433 7.953 Å, 90.00 108.63 90.00°
Space group P2/m (No. 10)
One atom of each set of equivalent atoms:
Nd 0.000 0.000 0.000
In 0.000 0.500 0.500
In 0.500 0.000 0.500
Ge 0.500 0.500 0.000
Te 0.254 0.500 0.235
Te 0.265 0.000 0.770

Calculated values
formation energy from raw total energies = -539 meV/atom

=====

Entry 6:
Computed, not measured: InNiGe3 after structural relaxation at the GGA-PBE level of DFT.

Cell: 5.169 5.169 5.169 Å, 90.00 90.00 90.00°
Space group Pm-3m (No. 221)
One atom of each set of equivalent atoms:
In 0.000 0.000 0.000
Ni 0.500 0.500 0.500
Ge 0.000 0.000 0.500

Calculated values
energy of formation = 1.338 eV per atom

=====

Entry 7:
Computed, not measured: In3NiGe after structural relaxation at the GGA-PBE level of DFT.

Cell: 4.940 4.940 4.940 Å, 90.00 90.00 90.00°
Space group Pm-3m (No. 221)
One atom of each set of equivalent atoms:
In 0.000 0.000 0.500
Ni 0.000 0.000 0.000
Ge 0.500 0.500 0.500

Calculated values
energy of formation = 0.198 eV per atom
energy above the most stable polymorph in this dataset = 0.000 eV per atom

=====

Entry 8:
Computed, not measured: InNiGe2 after structural relaxation at the GGA-PBE level of DFT.

Cell: 3.2074 3.2074 25.9707 Å, 90.00 90.00 120.00°
Space group R-3m (No. 166, hexagonal axes)
One atom of each set of equivalent atoms:
In 0.0000 0.0000 0.0000
Ni 0.0000 0.0000 0.5000
Ge 0.0000 0.0000 0.1067

Calculated values
energy of formation = 0.023 eV per atom

=====

Entry 9:
Computed, not measured: InNiGe2 after structural relaxation at the GGA-PBE level of DFT.

Cell: 3.9455 3.9455 17.4760 Å, 90.00 90.00 120.00°
Space group R3m (No. 160, hexagonal axes)
One atom of each set of equivalent atoms:
In 0.0000 0.0000 0.0000
Ni 0.0000 0.0000 0.8399
Ge 0.0000 0.0000 0.2169
Ge 0.0000 0.0000 0.4495

Calculated values
energy of formation = -0.009 eV per atom

=====

Entry 10:
Computed, not measured: In2NiGe2 after structural relaxation at the GGA-PBE level of DFT.

Cell: 4.011 4.011 14.111 Å, 90.00 90.00 90.00°
Space group I4/mmm (No. 139)
One atom of each set of equivalent atoms:
In 0.000 0.500 0.250
Ni 0.000 0.000 0.000
Ge 0.000 0.000 0.414

Calculated values
energy of formation = 0.620 eV per atom
energy above the most stable polymorph in this dataset = 0.557 eV per atom

=====

Entry 11:
Computed, not measured: InNiGe2 after structural relaxation at the GGA-PBE level of DFT.

Cell: 4.463 4.463 15.895 Å, 90.00 90.00 90.00°
Space group I-42d (No. 122)
One atom of each set of equivalent atoms:
In 0.000 0.000 0.000
Ni 0.000 0.000 0.500
Ge 0.160 0.250 0.625

Calculated values
energy of formation = 0.106 eV per atom

=====

Entry 12:
Computed, not measured: InNi12Ge6 after structural relaxation at the GGA-PBE level of DFT.

Cell: 10.9707 10.9707 7.5198 Å, 90.00 90.00 120.00°
Space group R-3m (No. 166, hexagonal axes)
One atom of each set of equivalent atoms:
In 0.0000 0.0000 0.0000
Ni 0.0000 0.3766 0.5000
Ni 0.0792 0.1584 0.3185
Ge 0.0421 0.5210 0.2544

Calculated values
energy of formation = -0.138 eV per atom

=====

Question: What is the formula in the sixth record?
Answer: InNiGe3